(1)
# Fe2SeBr PBE optimized geometry
data_Fe2SeBr
_space_group_name_H-M_alt 'P 4 m m'
_space_group_IT_number 99
_cell_length_a 3.592
_cell_length_b 3.592
_cell_length_c 6.944
_cell_angle_alpha 90.00
_cell_angle_beta 90.00
_cell_angle_gamma 90.00
loop_
_space_group_symop_operation_xyz
'x,y,z'
'-y,x,z'
'-x,-y,z'
'y,-x,z'
'-x,y,z'
'y,x,z'
'x,-y,z'
'-y,-x,z'
loop_
_atom_site_label
_atom_site_fract_x
_atom_site_fract_y
_atom_site_fract_z
Fe1 0.000 0.500 0.000
Se1 0.000 0.000 0.238
Br1 0.500 0.500 0.733
# **E**: -5.67 eV/atom
# **Relative energy among the computed polymorphs**: 0.000 eV/atom

---

(2)
# Ag2RuBr PBE optimized geometry
data_Ag2RuBr
_space_group_name_H-M_alt 'I m m 2'
_space_group_IT_number 44
_cell_length_a 3.006
_cell_length_b 4.528
_cell_length_c 12.728
_cell_angle_alpha 90.00
_cell_angle_beta 90.00
_cell_angle_gamma 90.00
loop_
_space_group_symop_operation_xyz
'x,y,z'
'-x,-y,z'
'-x,y,z'
'x,-y,z'
'x+1/2,y+1/2,z+1/2'
'-x+1/2,-y+1/2,z+1/2'
'-x+1/2,y+1/2,z+1/2'
'x+1/2,-y+1/2,z+1/2'
loop_
_atom_site_label
_atom_site_fract_x
_atom_site_fract_y
_atom_site_fract_z
Ag1 0.000 0.000 0.000
Ag2 0.000 0.500 0.133
Ru1 0.000 0.000 0.443
Br1 0.000 0.500 0.789
# **E**: -3.68 eV/atom
# **Relative energy among the computed polymorphs**: 0.008 eV/atom

---

(3)
# Mg2AlSiN4 PBE optimized geometry
data_Mg2AlSiN4
_space_group_name_H-M_alt 'P m n 21'
_space_group_IT_number 31
_cell_length_a 6.146
_cell_length_b 5.777
_cell_length_c 5.168
_cell_angle_alpha 90.00
_cell_angle_beta 90.00
_cell_angle_gamma 90.00
loop_
_space_group_symop_operation_xyz
'x,y,z'
'-x+1/2,-y,z+1/2'
'-x,y,z'
'x+1/2,-y,z+1/2'
loop_
_atom_site_label
_atom_site_fract_x
_atom_site_fract_y
_atom_site_fract_z
Mg1 0.249 0.163 0.000
Al1 0.000 0.349 0.499
Si1 0.000 0.664 0.001
N1 0.000 0.383 0.866
N2 0.000 0.644 0.340
N3 0.239 0.811 0.909
# **E**: -6.62 eV/atom

---

(4)
# ZrPbBr2 PBE optimized geometry
data_ZrPbBr2
_space_group_name_H-M_alt 'P 4 m m'
_space_group_IT_number 99
_cell_length_a 3.765
_cell_length_b 3.765
_cell_length_c 7.545
_cell_angle_alpha 90.00
_cell_angle_beta 90.00
_cell_angle_gamma 90.00
loop_
_space_group_symop_operation_xyz
'x,y,z'
'-y,x,z'
'-x,-y,z'
'y,-x,z'
'-x,y,z'
'y,x,z'
'x,-y,z'
'-y,-x,z'
loop_
_atom_site_label
_atom_site_fract_x
_atom_site_fract_y
_atom_site_fract_z
Zr1 0.000 0.000 0.000
Pb1 0.500 0.500 0.686
Br1 0.000 0.000 0.366
Br2 0.500 0.500 0.118
# **E**: -4.37 eV/atom
# **Relative energy among the computed polymorphs**: 0.302 eV/atom